(1)
# BaNd4Tl4 | Alexandria via LeMat-Bulk | PBE-GGA | optimized geometry
# Formation energy from the elements: -181 meV per atom
# Crystal system: tetragonal
# Total magnetic moment: 0.0 μB/f.u.
# Calculated volume: 304.3 Å³/f.u.
# Uncorrected energy: -3.565 eV/atom
data_BaNd4Tl4
_space_group_name_H-M_alt 'P 42/n'
_space_group_IT_number 86
_cell_length_a 9.9315
_cell_length_b 9.9315
_cell_length_c 6.1699
_cell_angle_alpha 90.00
_cell_angle_beta 90.00
_cell_angle_gamma 90.00
loop_
_space_group_symop_operation_xyz
'x,y,z'
'-x,-y,-z'
'-y,x+1/2,z+1/2'
'y,-x+1/2,-z+1/2'
'-x+1/2,-y+1/2,z'
'x+1/2,y+1/2,-z'
'y+1/2,-x,z+1/2'
'-y+1/2,x,-z+1/2'
loop_
_atom_site_label
_atom_site_fract_x
_atom_site_fract_y
_atom_site_fract_z
Ba1 0.2500 0.2500 0.2500
Nd1 0.1001 0.8342 0.6410
Tl1 0.0227 0.1311 0.8466


(2)
# NpCoNiH6 | Alexandria via LeMat-Bulk | PBE-GGA | optimized geometry
# Crystal system: hexagonal
# Total magnetic moment: 3.2 μB/f.u.
# Calculated volume: 67.5 Å³/f.u.
# Uncorrected energy: -5.280 eV/atom
data_NpCoNiH6
_space_group_name_H-M_alt 'P -6 m 2'
_space_group_IT_number 187
_space_group_name_Hall 'P -6 2'
_cell_length_a 4.3679
_cell_length_b 4.3679
_cell_length_c 4.0833
_cell_angle_alpha 90.00
_cell_angle_beta 90.00
_cell_angle_gamma 120.00
loop_
_atom_site_label
_atom_site_fract_x
_atom_site_fract_y
_atom_site_fract_z
Np1 0.0000 0.0000 0.0000
Co1 0.6667 0.3333 0.5000
Ni1 0.3333 0.6667 0.5000
H1 0.5032 0.0065 0.2408